! Ac4IrPdBr2 PBE relaxed; values from VASP
&SYSTEM
  ibrav = 0, nat = 8, ntyp = 4
/
ATOMIC_SPECIES
Ac 227.00 Ac.upf
Ir 192.22 Ir.upf
Pd 106.42 Pd.upf
Br 79.90 Br.upf
CELL_PARAMETERS angstrom
7.6510 0.0000 0.0000
0.0000 4.4002 0.0000
-2.5807 0.0000 8.2796
ATOMIC_POSITIONS angstrom
Ac 1.2083 0.0000 1.6123
Ac -0.0907 2.2001 6.6600
Ac 5.1610 2.2001 1.6196
Ac 3.8620 0.0000 6.6674
Ir 0.0000 2.2001 0.0000
Pd 3.8255 0.0000 0.0000
Br -1.2903 0.0000 4.1398
Br 2.5351 2.2001 4.1398
! Energy relative to the elements, uncorrected, meV per atom: -1160
! Fermi-level density of states, states/eV/atom: 0.509
! Total energy, eV per atom: -5.3891

---

! Ce8Os3Au2 PBE relaxed; values from VASP
&SYSTEM
  ibrav = 0, nat = 13, ntyp = 3
/
ATOMIC_SPECIES
Ce 140.12 Ce.upf
Os 190.23 Os.upf
Au 196.97 Au.upf
CELL_PARAMETERS angstrom
8.8571 0.0000 0.0000
0.0000 4.6635 0.0000
-3.0712 0.0000 8.3357
ATOMIC_POSITIONS angstrom
Ce -0.4100 0.0000 3.3825
Ce -1.4546 2.3318 7.2872
Ce 1.3466 2.3318 5.3253
Ce 2.9616 0.0000 1.0218
Ce 2.8243 0.0000 7.3139
Ce 4.4393 2.3318 3.0104
Ce 7.2405 2.3318 1.0485
Ce 6.1959 0.0000 4.9532
Os -0.0033 0.0000 6.3763
Os 4.4285 2.3318 0.0000
Os 5.7892 0.0000 1.9593
Au 1.2721 2.3318 2.2090
Au 4.5138 2.3318 6.1267
! Fermi-level density of states, states/eV/atom: 2.799
! Relative energy among the computed polymorphs, meV per atom: 0
! ΔE_f, meV per atom: -214
! Total energy, eV per atom: -6.9611

---

! Ca8Tl2Bi PBE relaxed; values from VASP
&SYSTEM
  ibrav = 0, nat = 11, ntyp = 3
/
ATOMIC_SPECIES
Ca 40.08 Ca.upf
Tl 204.38 Tl.upf
Bi 208.98 Bi.upf
CELL_PARAMETERS angstrom
-2.6953 4.2489 8.0154
2.6953 -4.2489 8.0154
2.6953 4.2489 -8.0154
ATOMIC_POSITIONS angstrom
Ca 2.6953 2.3988 -2.5264
Ca 0.0000 0.0000 2.4697
Ca 0.0000 2.6011 0.0000
Ca 2.6953 2.3988 2.5264
Ca 0.0000 1.8501 5.4890
Ca 0.0000 5.8968 0.0000
Ca 0.0000 0.0000 13.5611
Ca 0.0000 1.8501 10.5418
Tl 2.6953 0.0000 4.9396
Tl 0.0000 4.2489 3.0758
Bi 2.6953 0.0000 0.0000
! Fermi-level density of states, states/eV/atom: 0.759
! Relative energy among the computed polymorphs, meV per atom: 58
! ΔE_f, meV per atom: -314
! Total energy, eV per atom: -2.5526

---

Number 3 is which compound?
Ca8Tl2Bi